Density functional theory data (PBE with a Hubbard U) for an optimized crystal structure of CsV3B2P4H8O22.

Unit cell a=9.686 b=18.772 c=5.110 alpha=90.00 beta=110.50 gamma=90.00
Space group C2/m (No. 12)
Unique sites:
Cs (0.000, 0.000, 0.000) (multiplicity 2)
V (0.000, 0.500, 0.500) (multiplicity 2)
V (0.250, 0.250, 0.000) (multiplicity 4)
B (0.000, 0.166, 0.500) (multiplicity 4)
P (0.216, 0.360, 0.479) (multiplicity 8)
H (0.029, 0.249, 0.258) (multiplicity 8)
H (0.139, 0.459, 0.036) (multiplicity 8)
O (0.050, 0.212, 0.751) (multiplicity 8)
O (0.120, 0.428, 0.376) (multiplicity 8)
O (0.123, 0.118, 0.506) (multiplicity 8)
O (0.149, 0.500, 0.921) (multiplicity 4)
O (0.159, 0.300, 0.263) (multiplicity 8)
O (0.218, 0.340, 0.771) (multiplicity 8)

Values from the calculation:
energy: -543.2 eV per cell